# 1
Density functional theory data (PBE-GGA) for an optimized crystal structure of CsNaTl2Cu.

## Properties
Formation energy = 0.086 eV per atom
Uncorrected energy = -10.57 eV per cell

Lattice parameters (Å, degrees): 5.401 5.401 5.895 90.00 90.00 90.00
Fractional coordinates of all 5 atoms:
Cs1 0.000 0.000 0.000
Na1 0.500 0.500 0.000
Tl1 0.000 0.500 0.500
Tl2 0.500 0.000 0.500
Cu1 0.500 0.500 0.500

=====

# 2
Density functional theory data (PBE-GGA) for an optimized crystal structure of CuSnSCl2.

## Properties
Uncorrected energy = -17.44 eV per cell
Excess energy over the best structure of this formula in the dataset = 0 meV/atom

Lattice parameters (Å, degrees): 4.648 4.648 4.873 90.00 90.00 90.00
Fractional coordinates of all 5 atoms:
Cu1 0.000 0.000 0.000
Sn1 0.500 0.500 0.500
S1 0.000 0.000 0.500
Cl1 0.000 0.500 0.000
Cl2 0.500 0.000 0.000

=====

# 3
Density functional theory data (PBE-GGA) for an optimized crystal structure of TbHo2PuSb4.

## Properties
Uncorrected energy = -52.49 eV per cell

Lattice parameters (Å, degrees): 7.600 4.397 7.605 90.00 109.45 90.00
Fractional coordinates of all 8 atoms:
Tb1 0.000 0.000 0.000
Ho1 0.500 0.000 0.500
Ho2 0.500 0.500 0.000
Pu1 0.000 0.500 0.500
Sb1 0.252 0.500 0.251
Sb2 0.253 0.000 0.751
Sb3 0.747 0.000 0.249
Sb4 0.748 0.500 0.749

=====

Among the records above, which one has the highest uncorrected energy? CsNaTl2Cu

=====

Which of these has the highest uncorrected energy? CsNaTl2Cu

=====

Among the records above, which one has the lowest uncorrected energy? TbHo2PuSb4